Entry 1:
## In3Ag2 (PBE)

Data for an optimized crystal structure of In3Ag2.

a b c (Å): 6.5427 6.5427 20.3114
angles (deg): 90.00 90.00 120.00
Space group R-3c (No. 167, hexagonal axes)
Asymmetric unit:
1 In 0.0000 0.3897 0.2500 [18 per cell]
2 Ag 0.0000 0.0000 0.1804 [12 per cell]

Calculated values
- energy (eV per atom) = -2.688
- distance to the lowest polymorph of the same formula (eV per formula unit) = 0.363

---

Entry 2:
## NaPrSn3 (PBE)

Data for an optimized crystal structure of NaPrSn3.

a b c (Å): 14.067 6.368 6.408
angles (deg): 90.00 90.00 90.00
Space group Pbcm (No. 57)
Asymmetric unit:
1 Na 0.097 0.250 0.000 [4 per cell]
2 Pr 0.320 0.002 0.250 [4 per cell]
3 Sn 0.111 0.728 0.750 [4 per cell]
4 Sn 0.284 0.007 0.750 [4 per cell]
5 Sn 0.496 0.750 0.000 [4 per cell]

Calculated values
- energy (eV per atom) = -3.985

---

Entry 3:
## K2SbP (PBE)

Data for an optimized crystal structure of K2SbP.

a b c (Å): 3.5582 3.5582 33.0779
angles (deg): 90.00 90.00 120.00
Space group R-3m (No. 166, hexagonal axes)
Asymmetric unit:
1 K 0.0000 0.0000 0.2421 [6 per cell]
2 Sb 0.0000 0.0000 0.0000 [3 per cell]
3 P 0.0000 0.0000 0.5000 [3 per cell]

Calculated values
- energy (eV per atom) = -2.768
- distance to the lowest polymorph of the same formula (eV per formula unit) = 2.034
- formation energy (no corrections) (eV per atom) = 0.164

---

Entry 4:
## NaUIn2Se4 (PBE)

Data for an optimized crystal structure of NaUIn2Se4.

a b c (Å): 7.300 4.175 7.804
angles (deg): 90.00 106.82 90.00
Space group P2/m (No. 10)
Asymmetric unit:
1 Na 0.000 0.000 0.000 [1 per cell]
2 U 0.500 0.500 0.000 [1 per cell]
3 In 0.000 0.500 0.500 [1 per cell]
4 In 0.500 0.000 0.500 [1 per cell]
5 Se 0.276 0.500 0.224 [2 per cell]
6 Se 0.284 0.000 0.787 [2 per cell]

Calculated values
- energy (eV per atom) = -4.804
- formation energy (no corrections) (eV per atom) = -0.802

---

Entry 5:
## LiAl3Ir4 (PBE)

Data for an optimized crystal structure of LiAl3Ir4.

a b c (Å): 12.679 4.231 4.231
angles (deg): 90.00 109.43 90.00
Space group C2/m (No. 12)
Asymmetric unit:
1 Li 0.000 0.000 0.000 [2 per cell]
2 Al 0.000 0.500 0.500 [2 per cell]
3 Al 0.246 0.000 0.246 [4 per cell]
4 Ir 0.125 0.000 0.625 [4 per cell]
5 Ir 0.125 0.500 0.125 [4 per cell]

Calculated values
- energy (eV per atom) = -6.886

---

Entry 6:
## Ni2MoBr (PBE)

Data for an optimized crystal structure of Ni2MoBr.

a b c (Å): 2.9483 2.9483 23.7125
angles (deg): 90.00 90.00 120.00
Space group R3m (No. 160, hexagonal axes)
Asymmetric unit:
1 Ni 0.0000 0.0000 0.0000 [3 per cell]
2 Ni 0.0000 0.0000 0.2558 [3 per cell]
3 Mo 0.0000 0.0000 0.5080 [3 per cell]
4 Br 0.0000 0.0000 0.7537 [3 per cell]

Calculated values
- energy (eV per atom) = -5.462
- distance to the lowest polymorph of the same formula (eV per formula unit) = 0.887
- formation energy (no corrections) (eV per atom) = 0.554

---

Entry 7:
## Rb4HgAs3 (PBE)

Data for an optimized crystal structure of Rb4HgAs3.

a b c (Å): 4.590 5.443 12.368
angles (deg): 90.00 90.00 90.00
Space group Pmm2 (No. 25)
Asymmetric unit:
1 Rb 0.000 0.000 0.000 [1 per cell]
2 Rb 0.000 0.500 0.478 [1 per cell]
3 Rb 0.500 0.000 0.696 [1 per cell]
4 Rb 0.500 0.500 0.204 [1 per cell]
5 Hg 0.000 0.500 0.794 [1 per cell]
6 As 0.000 0.000 0.295 [1 per cell]
7 As 0.500 0.000 0.394 [1 per cell]
8 As 0.500 0.500 0.904 [1 per cell]

Calculated values
- energy (eV per atom) = -2.590

---

Entry 8:
## CsHg17I (PBE)

Data for an optimized crystal structure of CsHg17I.

a b c (Å): 11.2358 11.2358 17.0628
angles (deg): 90.00 90.00 120.00
Space group R3m (No. 160, hexagonal axes)
Asymmetric unit:
1 Cs 0.0000 0.0000 0.0000 [3 per cell]
2 Hg 0.0000 0.0000 0.2813 [3 per cell]
3 Hg 0.0000 0.0000 0.4712 [3 per cell]
4 Hg 0.0124 0.3114 0.3480 [18 per cell]
5 Hg 0.0284 0.5142 0.2061 [9 per cell]
6 Hg 0.0419 0.5209 0.8416 [9 per cell]
7 Hg 0.0442 0.5221 0.4927 [9 per cell]
8 I 0.0000 0.0000 0.6940 [3 per cell]

Calculated values
- energy (eV per atom) = -0.517
- formation energy (no corrections) (eV per atom) = -0.120

---

Entry 9:
## DyTlNi4 (PBE)

Data for an optimized crystal structure of DyTlNi4.

a b c (Å): 7.092 7.092 7.092
angles (deg): 90.00 90.00 90.00
Space group F-43m (No. 216)
Asymmetric unit:
1 Dy 0.000 0.000 0.000 [4 per cell]
2 Tl 0.250 0.250 0.250 [4 per cell]
3 Ni 0.124 0.124 0.624 [16 per cell]

Calculated values
- energy (eV per atom) = -5.296

---

Entry 10:
## Sc5Ir2 (PBE)

Data for an optimized crystal structure of Sc5Ir2.

a b c (Å): 6.596 13.665 6.244
angles (deg): 90.00 90.00 90.00
Space group Ibam (No. 72)
Asymmetric unit:
1 Sc 0.000 0.000 0.250 [4 per cell]
2 Sc 0.000 0.231 0.250 [8 per cell]
3 Sc 0.147 0.413 0.000 [8 per cell]
4 Ir 0.243 0.375 0.500 [8 per cell]

Calculated values
- energy (eV per atom) = -7.733
- distance to the lowest polymorph of the same formula (eV per formula unit) = 0.068

---

Entry 11:
## ZnB3C (PBE)

Data for an optimized crystal structure of ZnB3C.

a b c (Å): 3.520 3.520 3.520
angles (deg): 90.00 90.00 90.00
Space group Pm-3m (No. 221)
Asymmetric unit:
1 Zn 0.000 0.000 0.000 [1 per cell]
2 B 0.000 0.500 0.500 [3 per cell]
3 C 0.500 0.500 0.500 [1 per cell]

Calculated values
- energy (eV per atom) = -4.331
- distance to the lowest polymorph of the same formula (eV per formula unit) = 0.000

---

Entry 12:
## Ho4SnRh5 (PBE)

Data for an optimized crystal structure of Ho4SnRh5.

a b c (Å): 8.632 8.632 5.570
angles (deg): 90.00 90.00 90.00
Space group I4 (No. 79)
Asymmetric unit:
1 Ho 0.082 0.692 0.000 [8 per cell]
2 Sn 0.000 0.000 0.698 [2 per cell]
3 Rh 0.000 0.000 0.172 [2 per cell]
4 Rh 0.101 0.743 0.491 [8 per cell]

Calculated values
- energy (eV per atom) = -6.531

---

Entry 13:
## CaMgBi2F (PBE)

Data for an optimized crystal structure of CaMgBi2F.

a b c (Å): 5.842 5.842 6.196
angles (deg): 90.00 90.00 90.00
Space group P4/mmm (No. 123)
Asymmetric unit:
1 Ca 0.000 0.000 0.000 [1 per cell]
2 Mg 0.000 0.000 0.500 [1 per cell]
3 Bi 0.000 0.500 0.000 [2 per cell]
4 F 0.500 0.500 0.500 [1 per cell]

Calculated values
- energy (eV per atom) = -2.312
- formation energy (no corrections) (eV per atom) = 0.334

---

Entry 14:
## HPd2PbAu (PBE)

Data for an optimized crystal structure of HPd2PbAu.

a b c (Å): 4.249 4.249 4.245
angles (deg): 90.00 90.00 90.00
Space group P4/mmm (No. 123)
Asymmetric unit:
1 H 0.000 0.000 0.000 [1 per cell]
2 Pd 0.000 0.500 0.000 [2 per cell]
3 Pb 0.500 0.500 0.500 [1 per cell]
4 Au 0.000 0.000 0.500 [1 per cell]

Calculated values
- energy (eV per atom) = -4.181
- distance to the lowest polymorph of the same formula (eV per formula unit) = 0.000

---

Entry 15:
## La12Dy3Sc (PBE)

Data for an optimized crystal structure of La12Dy3Sc.

a b c (Å): 5.179 5.179 20.728
angles (deg): 90.00 90.00 90.00
Space group P4/mmm (No. 123)
Asymmetric unit:
1 La 0.000 0.000 0.000 [1 per cell]
2 La 0.000 0.000 0.248 [2 per cell]
3 La 0.000 0.000 0.500 [1 per cell]
4 La 0.000 0.500 0.122 [4 per cell]
5 La 0.000 0.500 0.374 [4 per cell]
6 Dy 0.500 0.500 0.248 [2 per cell]
7 Dy 0.500 0.500 0.500 [1 per cell]
8 Sc 0.500 0.500 0.000 [1 per cell]

Calculated values
- energy (eV per atom) = -4.939

---

Entry 16:
## Li2GePb (PBE)

Data for an optimized crystal structure of Li2GePb.

a b c (Å): 6.742 6.742 6.742
angles (deg): 90.00 90.00 90.00
Space group Fm-3m (No. 225)
Asymmetric unit:
1 Li 0.250 0.250 0.250 [8 per cell]
2 Ge 0.000 0.000 0.000 [4 per cell]
3 Pb 0.000 0.000 0.500 [4 per cell]

Calculated values
- energy (eV per atom) = -3.247
- distance to the lowest polymorph of the same formula (eV per formula unit) = 0.005

---

Entry 17:
## DyZnCu5 (PBE)

Data for an optimized crystal structure of DyZnCu5.

a b c (Å): 8.067 5.022 10.173
angles (deg): 90.00 90.00 90.00
Space group Pnma (No. 62)
Asymmetric unit:
1 Dy 0.242 0.250 0.063 [4 per cell]
2 Zn 0.142 0.750 0.858 [4 per cell]
3 Cu 0.061 0.750 0.095 [4 per cell]
4 Cu 0.066 0.006 0.309 [8 per cell]
5 Cu 0.095 0.250 0.517 [4 per cell]
6 Cu 0.184 0.250 0.753 [4 per cell]

Calculated values
- energy (eV per atom) = -3.969

---

Entry 18:
## Ti2BiRhCl (PBE)

Data for an optimized crystal structure of Ti2BiRhCl.

a b c (Å): 5.271 5.271 5.148
angles (deg): 90.00 90.00 90.00
Space group P4/mmm (No. 123)
Asymmetric unit:
1 Ti 0.000 0.500 0.000 [2 per cell]
2 Bi 0.000 0.000 0.000 [1 per cell]
3 Rh 0.500 0.500 0.500 [1 per cell]
4 Cl 0.000 0.000 0.500 [1 per cell]

Calculated values
- energy (eV per atom) = -4.336
- formation energy (no corrections) (eV per atom) = 1.438

---

Entry 19:
## Y2CuGe (PBE)

Data for an optimized crystal structure of Y2CuGe.

a b c (Å): 5.870 4.184 7.861
angles (deg): 90.00 110.20 90.00
Space group P2_1/m (No. 11)
Asymmetric unit:
1 Y 0.213 0.250 0.418 [2 per cell]
2 Y 0.216 0.250 0.938 [2 per cell]
3 Cu 0.366 0.750 0.216 [2 per cell]
4 Ge 0.341 0.750 0.710 [2 per cell]

Calculated values
- energy (eV per atom) = -6.008

---

Entry 20:
## NdHo2Th5 (PBE)

Data for an optimized crystal structure of NdHo2Th5.

a b c (Å): 7.167 14.343 5.047
angles (deg): 90.00 90.00 90.00
Space group Pbam (No. 55)
Asymmetric unit:
1 Nd 0.000 0.000 0.000 [2 per cell]
2 Ho 0.247 0.373 0.500 [4 per cell]
3 Th 0.000 0.500 0.000 [2 per cell]
4 Th 0.001 0.252 0.000 [4 per cell]
5 Th 0.245 0.628 0.500 [4 per cell]

Calculated values
- energy (eV per atom) = -6.317